DFT (GGA-PBE) results for Ti5Pd4W after structural relaxation.

CIF file:
```
data_Ti5Pd4W
_cell_length_a 3.055
_cell_length_b 3.055
_cell_length_c 17.173
_cell_angle_alpha 90.00
_cell_angle_beta 90.00
_cell_angle_gamma 90.00
_space_group_name_H-M_alt 'P 1'
_space_group_IT_number 1
loop_
_space_group_symop_operation_xyz
'x,y,z'
loop_
_atom_site_label
_atom_site_type_symbol
_atom_site_fract_x
_atom_site_fract_y
_atom_site_fract_z
Pd1 Pd 0.000 0.000 0.807
Pd2 Pd 0.000 0.000 0.193
Ti1 Ti 0.500 0.500 0.704
Ti2 Ti 0.500 0.500 0.296
Pd3 Pd 0.000 0.000 0.402
Ti3 Ti 0.500 0.500 0.093
W1 W 0.000 0.000 0.000
Pd4 Pd 0.000 0.000 0.598
Ti4 Ti 0.500 0.500 0.500
Ti5 Ti 0.500 0.500 0.907
```

Electronic total energy: -77.343 eV per formula unit
V: 16.0 Å³ per atom